Here is a geometry-optimized Rb2LiNd2W4O16 structure from Alexandria. Energies are from PBE+U.

Output
* total magnetization: 1.0 μB per cell
* energy: -7.20 eV/atom
* SG: No. 1

Cell: 7.546 7.637 8.146 Å, 88.54 116.04 118.48°
Site moments in Bohr magnetons follow the coordinates.
Fractional positions:
Rb: 0.753 0.209 0.798  0.00
Rb: 0.248 0.792 0.207  0.00
Li: 0.056 0.912 0.529  0.00
Nd: 0.714 0.745 0.177  0.00
Nd: 0.271 0.256 0.812  0.00
W: 0.791 0.314 0.311  0.01
W: 0.290 0.305 0.321  0.01
W: 0.202 0.677 0.696  0.94
W: 0.705 0.699 0.682  0.04
O: 0.458 0.396 0.617  0.00
O: 0.804 0.760 0.937  0.01
O: 0.895 0.951 0.647  0.00
O: 0.350 0.595 0.920  0.01
O: 0.558 0.248 0.375  0.00
O: 0.927 0.618 0.734  0.00
O: 0.647 0.383 0.086  0.00
O: 0.539 0.597 0.379  0.00
O: 0.306 0.958 0.755  -0.02
O: 0.207 0.239 0.072  0.00
O: 0.968 0.638 0.414  0.01
O: 0.109 0.045 0.347  0.00
O: 0.459 0.752 0.633  0.01
O: 0.070 0.382 0.269  0.00
O: 0.689 0.045 0.226  0.00
O: 0.023 0.365 0.580  0.00